[1]
Pm2SmAg8 | PBE | optimized geometry

a b c (Å): 5.268 6.144 8.670
angles (deg): 110.69 107.62 90.19
Positions (direct):
Ag  0.128  0.355  0.258
Ag  0.870  0.097  0.742
Ag  0.130  0.903  0.258
Ag  0.249  0.500  0.000
Ag  0.701  0.201  0.402
Ag  0.751  0.500  0.000
Ag  0.872  0.645  0.742
Ag  0.299  0.799  0.598
Pm  0.315  0.315  0.631
Pm  0.685  0.685  0.369
Sm  0.500  0.000  0.000

Properties
density of states at the Fermi level	5.574	states/eV/cell
total DFT energy (no corrections)	-39.34	eV for the cell shown
ΔE_f	-2.314	eV/f.u.


[2]
Pm2SmAg6 | PBE | optimized geometry

a b c (Å): 3.539 8.309 8.309
angles (deg): 120.00 90.00 90.00
Positions (direct):
Ag  0.500  0.333  0.000
Ag  0.500  0.000  0.667
Ag  0.500  0.333  0.333
Ag  0.500  0.667  0.667
Ag  0.500  0.667  0.000
Ag  0.500  0.000  0.333
Sm  0.000  0.000  0.000
Pm  0.000  0.667  0.333
Pm  0.000  0.333  0.667

Properties
density of states at the Fermi level	6.804	states/eV/cell
total DFT energy (no corrections)	-33.65	eV for the cell shown
ΔE_f	-2.325	eV/f.u.


[3]
Pm2SmAg | PBE | optimized geometry

a b c (Å): 5.497 5.497 5.497
angles (deg): 60.00 60.00 60.00
Positions (direct):
Pm  0.250  0.250  0.250
Pm  0.750  0.750  0.750
Sm  0.000  0.000  0.000
Ag  0.500  0.500  0.500

Properties
density of states at the Fermi level	6.051	states/eV/cell
total DFT energy (no corrections)	-16.73	eV for the cell shown
ΔE_f	0.344	eV/f.u.